This record from Alexandria describes an optimized crystal structure of BaWN3. The functional is PBE-GGA.

Structure (POSCAR):
```
BaWN3
1.0
5.413 5.413 0.000
0.000 5.413 5.413
5.413 0.000 5.413
W N Ba
4 12 4
Direct
0.625 0.625 0.125 W
0.125 0.625 0.625 W
0.625 0.125 0.625 W
0.625 0.625 0.625 W
0.315 0.685 0.685 N
0.935 0.565 0.935 N
0.315 0.315 0.685 N
0.315 0.685 0.315 N
0.685 0.685 0.315 N
0.685 0.315 0.685 N
0.565 0.935 0.565 N
0.685 0.315 0.315 N
0.935 0.935 0.565 N
0.935 0.565 0.565 N
0.565 0.565 0.935 N
0.565 0.935 0.935 N
0.625 0.125 0.125 Ba
0.125 0.125 0.625 Ba
0.125 0.125 0.125 Ba
0.125 0.625 0.125 Ba
```

Results
- DFT total energy: -8.103 eV per atom
- Energy relative to the elements, uncorrected: -3.1 kcal/mol of atoms